Below is a relaxed structure of YCrBi2C, with properties calculated at the PBE-GGA level.

abc: 5.0311 5.2164 5.0311
angles: 90.00 90.00 90.00
Last column: magnetic moment on the atom in μB.
Element x y z (fractional)
Cr  0.0000  0.0000  0.0000  0.84
C  0.5000  0.5000  0.5000  0.72
Bi  0.0000  0.0000  0.5000  -0.10
Bi  0.5000  0.0000  0.0000  -0.10
Y  0.0000  0.5000  0.0000  -0.04

Computed properties:
Crystal system = tetragonal

---

Below is a relaxed structure of Cs2Bi2C, with properties calculated at the PBE-GGA level.

abc: 4.5011 4.5011 11.1791
angles: 78.39 78.39 90.00
Last column: magnetic moment on the atom in μB.
Element x y z (fractional)
Bi  0.7500  0.2500  0.5000  0.01
Bi  0.2500  0.7500  0.5000  0.01
Cs  0.4099  0.4099  0.1802  0.04
Cs  0.5901  0.5901  0.8198  0.04
C  0.0000  0.0000  0.0000  1.17

Computed properties:
Crystal system = tetragonal
Excess energy over the best structure of this formula in the dataset = 0 meV per atom

---

Ordered formation enthalpy at 0 K results: 1.412 0.812; unit eV per atom.